(1)
YTe2Au | PBE-GGA | optimized geometry

Fermi-level density of states ... 0.16 states/eV/f.u.
Size of the total moment ... 0.00 μB per formula unit
VASP energy ... -0.1745 hartree per atom

Cell and atoms, written as CIF:
```
data_YTe2Au
_chemical_formula_sum 'Y4 Te8 Au4'
_cell_length_a 7.403
_cell_length_b 7.403
_cell_length_c 7.579
_cell_angle_alpha 90.00
_cell_angle_beta 90.00
_cell_angle_gamma 90.00
_symmetry_space_group_name_H-M 'I 4/m c m'
_symmetry_Int_Tables_number 140
_symmetry_space_group_name_Hall '-I 4 2c'
loop_
_atom_site_label
_atom_site_fract_x
_atom_site_fract_y
_atom_site_fract_z
Y1 0.000 0.000 0.250
Te1 0.197 0.303 0.000
Au1 0.000 0.500 0.250
```



(2)
YTeAu2 | PBE-GGA | optimized geometry

Fermi-level density of states ... 3.02 states/eV/f.u.
Size of the total moment ... 0.00 μB per formula unit
VASP energy ... -0.1686 hartree per atom

Cell and atoms, written as CIF:
```
data_YTeAu2
_chemical_formula_sum 'Y3 Te3 Au6'
_cell_length_a 4.4460
_cell_length_b 4.4460
_cell_length_c 17.6878
_cell_angle_alpha 90.00
_cell_angle_beta 90.00
_cell_angle_gamma 120.00
_symmetry_space_group_name_H-M 'R -3 m'
_symmetry_Int_Tables_number 166
_symmetry_space_group_name_Hall '-R 3 2"'
loop_
_atom_site_label
_atom_site_fract_x
_atom_site_fract_y
_atom_site_fract_z
Y1 0.0000 0.0000 0.0000
Te1 0.0000 0.0000 0.5000
Au1 0.0000 0.0000 0.2475
```



(3)
YTeAu | PBE-GGA | optimized geometry

Fermi-level density of states ... 0.85 states/eV/f.u.
Size of the total moment ... 0.00 μB per formula unit
VASP energy ... -0.1890 hartree per atom

Cell and atoms, written as CIF:
```
data_YTeAu
_chemical_formula_sum 'Y2 Te2 Au2'
_cell_length_a 3.936
_cell_length_b 3.936
_cell_length_c 9.730
_cell_angle_alpha 90.00
_cell_angle_beta 90.00
_cell_angle_gamma 90.00
_symmetry_space_group_name_H-M 'I 4 m m'
_symmetry_Int_Tables_number 107
_symmetry_space_group_name_Hall 'I 4 -2'
loop_
_atom_site_label
_atom_site_fract_x
_atom_site_fract_y
_atom_site_fract_z
Y1 0.000 0.000 0.000
Te1 0.000 0.000 0.667
Au1 0.000 0.000 0.342
```



(4)
YTe2Au | PBE-GGA | optimized geometry

Fermi-level density of states ... 1.71 states/eV/f.u.
Size of the total moment ... 0.00 μB per formula unit
VASP energy ... -0.1737 hartree per atom

Cell and atoms, written as CIF:
```
data_YTe2Au
_chemical_formula_sum 'Y1 Te2 Au1'
_cell_length_a 4.279
_cell_length_b 4.279
_cell_length_c 6.196
_cell_angle_alpha 90.00
_cell_angle_beta 90.00
_cell_angle_gamma 90.00
_symmetry_space_group_name_H-M 'P 4/m m m'
_symmetry_Int_Tables_number 123
_symmetry_space_group_name_Hall '-P 4 2'
loop_
_atom_site_label
_atom_site_fract_x
_atom_site_fract_y
_atom_site_fract_z
Y1 0.000 0.000 0.000
Te1 0.000 0.000 0.500
Te2 0.500 0.500 0.000
Au1 0.500 0.500 0.500
```



(5)
YTe2Au | PBE-GGA | optimized geometry

Fermi-level density of states ... 2.57 states/eV/f.u.
Size of the total moment ... 0.00 μB per formula unit
VASP energy ... -0.1631 hartree per atom

Cell and atoms, written as CIF:
```
data_YTe2Au
_chemical_formula_sum 'Y4 Te8 Au4'
_cell_length_a 7.475
_cell_length_b 7.475
_cell_length_c 7.475
_cell_angle_alpha 90.00
_cell_angle_beta 90.00
_cell_angle_gamma 90.00
_symmetry_space_group_name_H-M 'F -4 3 m'
_symmetry_Int_Tables_number 216
_symmetry_space_group_name_Hall 'F -4 2 3'
loop_
_atom_site_label
_atom_site_fract_x
_atom_site_fract_y
_atom_site_fract_z
Y1 0.000 0.000 0.000
Te1 0.000 0.000 0.500
Te2 0.250 0.250 0.250
Au1 0.250 0.250 0.750
```



(6)
YTe2Au | PBE-GGA | optimized geometry

Fermi-level density of states ... 0.04 states/eV/f.u.
Size of the total moment ... 0.00 μB per formula unit
VASP energy ... -0.1795 hartree per atom

Cell and atoms, written as CIF:
```
data_YTe2Au
_chemical_formula_sum 'Y4 Te8 Au4'
_cell_length_a 7.828
_cell_length_b 4.212
_cell_length_c 13.644
_cell_angle_alpha 90.00
_cell_angle_beta 90.00
_cell_angle_gamma 90.00
_symmetry_space_group_name_H-M 'P n m a'
_symmetry_Int_Tables_number 62
loop_
_symmetry_equiv_pos_as_xyz
'x,y,z'
'-x,-y,-z'
'-x+1/2,-y,z+1/2'
'x+1/2,y,-z+1/2'
'x+1/2,-y+1/2,-z+1/2'
'-x+1/2,y+1/2,z+1/2'
'-x,y+1/2,-z'
'x,-y+1/2,z'
loop_
_atom_site_label
_atom_site_fract_x
_atom_site_fract_y
_atom_site_fract_z
Y1 0.173 0.250 0.157
Te1 0.048 0.250 0.726
Te2 0.169 0.750 0.983
Au1 0.105 0.750 0.464
```



(7)
YTe2Au | PBE-GGA | optimized geometry

Fermi-level density of states ... 0.00 states/eV/f.u.
Size of the total moment ... 0.00 μB per formula unit
VASP energy ... -0.1802 hartree per atom

Cell and atoms, written as CIF:
```
data_YTe2Au
_chemical_formula_sum 'Y3 Te6 Au3'
_cell_length_a 4.5688
_cell_length_b 4.5688
_cell_length_c 22.3653
_cell_angle_alpha 90.00
_cell_angle_beta 90.00
_cell_angle_gamma 120.00
_symmetry_space_group_name_H-M 'R 3 m'
_symmetry_Int_Tables_number 160
_symmetry_space_group_name_Hall 'R 3 -2"'
loop_
_atom_site_label
_atom_site_fract_x
_atom_site_fract_y
_atom_site_fract_z
Y1 0.0000 0.0000 0.0000
Te1 0.0000 0.0000 0.2269
Te2 0.0000 0.0000 0.7357
Au1 0.0000 0.0000 0.6009
```



(8)
YTe2Au | PBE-GGA | optimized geometry

Fermi-level density of states ... 0.04 states/eV/f.u.
Size of the total moment ... 0.00 μB per formula unit
VASP energy ... -0.1770 hartree per atom

Cell and atoms, written as CIF:
```
data_YTe2Au
_chemical_formula_sum 'Y16 Te32 Au16'
_cell_length_a 9.400
_cell_length_b 12.368
_cell_length_c 17.530
_cell_angle_alpha 90.00
_cell_angle_beta 103.19
_cell_angle_gamma 90.00
_symmetry_space_group_name_H-M 'C 1 2/c 1'
_symmetry_Int_Tables_number 15
loop_
_symmetry_equiv_pos_as_xyz
'x,y,z'
'-x,-y,-z'
'-x,y,-z+1/2'
'x,-y,z+1/2'
'x+1/2,y+1/2,z'
'-x+1/2,-y+1/2,-z'
'-x+1/2,y+1/2,-z+1/2'
'x+1/2,-y+1/2,z+1/2'
loop_
_atom_site_label
_atom_site_fract_x
_atom_site_fract_y
_atom_site_fract_z
Y1 0.116 0.163 0.178
Y2 0.137 0.111 0.943
Te1 0.000 0.269 0.750
Te2 0.000 0.355 0.250
Te3 0.039 0.310 0.031
Te4 0.192 0.037 0.587
Te5 0.205 0.077 0.344
Au1 0.110 0.363 0.893
Au2 0.201 0.110 0.757
```



Copy entry 1 word for word.
YTe2Au | PBE-GGA | optimized geometry

Fermi-level density of states ... 0.16 states/eV/f.u.
Size of the total moment ... 0.00 μB per formula unit
VASP energy ... -0.1745 hartree per atom

Cell and atoms, written as CIF:
```
data_YTe2Au
_chemical_formula_sum 'Y4 Te8 Au4'
_cell_length_a 7.403
_cell_length_b 7.403
_cell_length_c 7.579
_cell_angle_alpha 90.00
_cell_angle_beta 90.00
_cell_angle_gamma 90.00
_symmetry_space_group_name_H-M 'I 4/m c m'
_symmetry_Int_Tables_number 140
_symmetry_space_group_name_Hall '-I 4 2c'
loop_
_atom_site_label
_atom_site_fract_x
_atom_site_fract_y
_atom_site_fract_z
Y1 0.000 0.000 0.250
Te1 0.197 0.303 0.000
Au1 0.000 0.500 0.250
```



What did the sixth record say?
YTe2Au | PBE-GGA | optimized geometry

Fermi-level density of states ... 0.04 states/eV/f.u.
Size of the total moment ... 0.00 μB per formula unit
VASP energy ... -0.1795 hartree per atom

Cell and atoms, written as CIF:
```
data_YTe2Au
_chemical_formula_sum 'Y4 Te8 Au4'
_cell_length_a 7.828
_cell_length_b 4.212
_cell_length_c 13.644
_cell_angle_alpha 90.00
_cell_angle_beta 90.00
_cell_angle_gamma 90.00
_symmetry_space_group_name_H-M 'P n m a'
_symmetry_Int_Tables_number 62
loop_
_symmetry_equiv_pos_as_xyz
'x,y,z'
'-x,-y,-z'
'-x+1/2,-y,z+1/2'
'x+1/2,y,-z+1/2'
'x+1/2,-y+1/2,-z+1/2'
'-x+1/2,y+1/2,z+1/2'
'-x,y+1/2,-z'
'x,-y+1/2,z'
loop_
_atom_site_label
_atom_site_fract_x
_atom_site_fract_y
_atom_site_fract_z
Y1 0.173 0.250 0.157
Te1 0.048 0.250 0.726
Te2 0.169 0.750 0.983
Au1 0.105 0.750 0.464
```